[1]
HgOsBr2 | PBE | optimized geometry

Cell: 3.1404 4.9146 14.1003 Å, 90.00 90.00 90.00°
Space group Immm (No. 71)
One atom of each set of equivalent atoms:
Hg 0.0000 0.0000 0.0000
Os 0.0000 0.0000 0.5000
Br 0.0000 0.5000 0.1452

Energy relative to the lowest polymorph listed for this composition: 0.104 eV per atom
Calculated volume: 217.62 Å³/cell
Formation energy from raw total energies: 0.409 eV per atom
Calculated total energy: -3.310 eV per atom

***

[2]
HgOs2Br | PBE | optimized geometry

Cell: 5.4436 2.9251 5.6946 Å, 90.00 116.62 90.00°
Space group Pm (No. 6)
One atom of each set of equivalent atoms:
Hg 0.0000 0.0000 0.0000
Os 0.1134 0.0000 0.5530
Os 0.5087 0.5000 0.6340
Br 0.6574 0.5000 0.2964

Energy relative to the lowest polymorph listed for this composition: 0.110 eV per atom
Calculated volume: 81.06 Å³/cell
Formation energy from raw total energies: 1.002 eV per atom
Calculated total energy: -5.106 eV per atom

***

> The lowest calculated total energy belongs to which entry?

HgOs2Br